(1)
Here is Be2ReOs after structural relaxation from Alexandria via LeMat-Bulk. Energies are from PBE-GGA.

The value obtained for the spin magnetization is 0.00 μB/f.u. As for the final energy: -7.911 eV/atom. The energy relative to the lowest polymorph listed for this composition is 20 meV per atom. The formation energy comes out at -0.51 eV/f.u. Its crystal system is orthorhombic. As for the density of states at the Fermi level: 0.56 states/eV per atom. As for the mass density: 14.7 g/cm³.

The structure belongs to space group Amm2 (No. 38); the cell edges are 3.690, 2.811 and 8.567 Å and the angles 90.00°, 90.00° and 90.00°. The distinct sites, in fractional coordinates, are Be at (0.000, 0.000, 0.000), Be at (0.500, 0.000, 0.133), Re at (0.500, 0.000, 0.406) and Os at (0.000, 0.000, 0.724).



(2)
Here is TbPm5Pb4 after structural relaxation from Alexandria via LeMat-Bulk. Energies are from PBE-GGA.

The value obtained for the spin magnetization is 0.00 μB/f.u. As for the final energy: -4.696 eV/atom. The formation energy comes out at -3.75 eV/f.u. Its crystal system is monoclinic. As for the density of states at the Fermi level: 0.73 states/eV per atom. As for the mass density: 8.5 g/cm³.

The structure belongs to space group C2/m (No. 12); the cell edges are 16.699, 5.473 and 7.328 Å and the angles 90.00°, 90.40° and 90.00°. The distinct sites, in fractional coordinates, are Tb at (0.000, 0.000, 0.000), Pm at (0.000, 0.000, 0.500), Pm at (0.166, 0.500, 0.495), Pm at (0.167, 0.500, 0.007), Pb at (0.009, 0.500, 0.753) and Pb at (0.175, 0.000, 0.249).



(3)
Here is PrYCd after structural relaxation from Alexandria via LeMat-Bulk. Energies are from PBE-GGA.

The value obtained for the spin magnetization is 0.51 μB/f.u. As for the final energy: -4.257 eV/atom. The energy relative to the lowest polymorph listed for this composition is 14 meV per atom. The formation energy comes out at -0.61 eV/f.u. Its crystal system is tetragonal. As for the density of states at the Fermi level: 1.26 states/eV per atom. As for the mass density: 6.3 g/cm³.

The structure belongs to space group I4mm (No. 107); the cell edges are 3.717, 3.717 and 13.080 Å and the angles 90.00°, 90.00° and 90.00°. The distinct sites, in fractional coordinates, are Pr at (0.000, 0.000, 0.000), Y at (0.000, 0.000, 0.691) and Cd at (0.000, 0.000, 0.335).